Below is MgCr4FeO8 at its PBEsol-relaxed geometry, with properties calculated at the SCAN level.

Calculated values
* magnetic moment: 64.00 μB/cell
* energy relative to the elements, uncorrected: -34.7 eV/f.u.

Structure (CIF):
```
data_MgCr4FeO8
_space_group_name_H-M_alt 'F -4 3 m'
_space_group_IT_number 216
_space_group_name_Hall 'F -4 2 3'
_cell_length_a 8.3316
_cell_length_b 8.3316
_cell_length_c 8.3316
_cell_angle_alpha 90.00
_cell_angle_beta 90.00
_cell_angle_gamma 90.00
loop_
_atom_site_label
_atom_site_type_symbol
_atom_site_fract_x
_atom_site_fract_y
_atom_site_fract_z
Mg1 Mg 0.0000 0.0000 0.0000
Cr1 Cr 0.1256 0.1256 0.3744
Fe1 Fe 0.2500 0.2500 0.7500
O1 O 0.1139 0.1139 0.6139
O2 O 0.1371 0.1371 0.1371
```



Below is MnCr2Fe at its PBEsol-relaxed geometry, with properties calculated at the SCAN level.

Calculated values
* formation energy from the elements: 74 meV per atom
* energy above the lowest structure with this stoichiometry: 102 meV per atom
* magnetic moment: 5.82 μB/cell

Structure (CIF):
```
data_MnCr2Fe
_space_group_name_H-M_alt 'I m m m'
_space_group_IT_number 71
_space_group_name_Hall '-I 2 2'
_cell_length_a 2.8363
_cell_length_b 3.9066
_cell_length_c 7.8094
_cell_angle_alpha 90.00
_cell_angle_beta 90.00
_cell_angle_gamma 90.00
loop_
_atom_site_label
_atom_site_type_symbol
_atom_site_fract_x
_atom_site_fract_y
_atom_site_fract_z
Mn1 Mn 0.0000 0.0000 0.0000
Cr1 Cr 0.0000 0.5000 0.2532
Fe1 Fe 0.0000 0.0000 0.5000
```



Below is Mn2CrFe at its PBEsol-relaxed geometry, with properties calculated at the SCAN level.

Calculated values
* formation energy from the elements: 93 meV per atom
* magnetic moment: 8.61 μB/cell

Structure (CIF):
```
data_Mn2CrFe
_space_group_name_H-M_alt 'C 1 2/m 1'
_space_group_IT_number 12
_cell_length_a 4.8405
_cell_length_b 7.9179
_cell_length_c 2.3941
_cell_angle_alpha 90.00
_cell_angle_beta 111.30
_cell_angle_gamma 90.00
loop_
_space_group_symop_operation_xyz
'x,y,z'
'-x,-y,-z'
'-x,y,-z'
'x,-y,z'
'x+1/2,y+1/2,z'
'-x+1/2,-y+1/2,-z'
'-x+1/2,y+1/2,-z'
'x+1/2,-y+1/2,z'
loop_
_atom_site_label
_atom_site_type_symbol
_atom_site_fract_x
_atom_site_fract_y
_atom_site_fract_z
Mn1 Mn 0.2500 0.2500 0.0000
Cr1 Cr 0.0000 0.0000 0.5000
Fe1 Fe 0.0000 0.5000 0.5000
```



no.,uncorrected energy (eV per atom)
1,-12.9453
2,-18.2149
3,-18.1628